This record from OQMD via LeMat-Bulk describes a geometry-optimized ScAgGeTeSe2 structure. The functional is PBE.

Output
Total energy   -109.692 eV/cell
Calculated volume   23.915 A^3/atom
Magnetization   0.00 Bohr magnetons per cell

Unit cell a=3.907 b=13.517 c=10.869 alpha=90.00 beta=90.00 gamma=90.00
Space group Cmcm (No. 63)
Symmetry-distinct sites (fractional):
1 Sc 0.000 0.000 0.000 [4 per cell]
2 Ag 0.000 0.474 0.250 [4 per cell]
3 Ge 0.000 0.199 0.750 [4 per cell]
4 Te 0.000 0.120 0.250 [4 per cell]
5 Se 0.000 0.363 0.054 [8 per cell]